No. 1
Cu4PtSe | PBE-GGA | optimized geometry

Computed properties:
* space-group type: No. 216
* DFT total energy: -4.18 eV per atom

a = 4.902 Å, b = 4.902 Å, c = 4.902 Å
α = 60.00°, β = 60.00°, γ = 60.00°
Element x y z (fractional)
Cu  0.125  0.125  0.125
Cu  0.125  0.125  0.624
Cu  0.125  0.624  0.125
Cu  0.624  0.125  0.125
Pt  0.500  0.500  0.500
Se  0.750  0.750  0.750

=====

No. 2
LaPmDy3Tm | PBE-GGA | optimized geometry

Computed properties:
* ΔH_f (0 K): 195 meV/atom
* space-group type: No. 12

a = 10.271 Å, b = 10.271 Å, c = 7.093 Å
α = 90.75°, β = 90.75°, γ = 32.05°
Element x y z (fractional)
La  0.145  0.145  0.028
La  0.855  0.855  0.972
Pm  0.448  0.448  0.730
Pm  0.552  0.552  0.270
Dy  0.023  0.023  0.734
Dy  0.280  0.280  0.755
Dy  0.335  0.335  0.275
Dy  0.665  0.665  0.725
Dy  0.720  0.720  0.245
Dy  0.977  0.977  0.266
Tm  0.150  0.150  0.459
Tm  0.850  0.850  0.541

=====

No. 3
Co2Tc2Hg | PBE-GGA | optimized geometry

Computed properties:
* ΔH_f (0 K): 358 meV/atom
* space-group type: No. 127

a = 7.288 Å, b = 7.288 Å, c = 2.670 Å
α = 90.00°, β = 90.00°, γ = 90.00°
Element x y z (fractional)
Co  0.118  0.382  0.000
Co  0.382  0.882  0.000
Co  0.618  0.118  0.000
Co  0.882  0.618  0.000
Tc  0.170  0.670  0.500
Tc  0.330  0.170  0.500
Tc  0.670  0.830  0.500
Tc  0.830  0.330  0.500
Hg  0.000  0.000  0.000
Hg  0.500  0.500  0.000

=====

No. 4
VCdH | PBE-GGA | optimized geometry

Computed properties:
* energy above the lowest structure with this stoichiometry: 727 meV per atom
* space-group type: No. 129

a = 3.628 Å, b = 3.628 Å, c = 6.344 Å
α = 90.00°, β = 90.00°, γ = 90.00°
Element x y z (fractional)
V  0.250  0.250  0.088
V  0.750  0.750  0.912
Cd  0.250  0.750  0.500
Cd  0.750  0.250  0.500
H  0.250  0.250  0.817
H  0.750  0.750  0.183

=====

No. 5
BaCeP | PBE-GGA | optimized geometry

Computed properties:
* energy above the lowest structure with this stoichiometry: 0 meV per atom
* ΔH_f (0 K): -695 meV/atom
* space-group type: No. 156

a = 4.241 Å, b = 4.241 Å, c = 7.382 Å
α = 90.00°, β = 90.00°, γ = 120.00°
Element x y z (fractional)
Ba  0.000  0.000  0.000
Ce  0.667  0.333  0.473
P  0.333  0.667  0.283

=====

No. 6
SrPb2Br | PBE-GGA | optimized geometry

Computed properties:
* energy above the lowest structure with this stoichiometry: 96 meV per atom
* space-group type: No. 12

a = 7.236 Å, b = 7.236 Å, c = 4.580 Å
α = 98.57°, β = 98.57°, γ = 35.28°
Element x y z (fractional)
Sr  0.000  0.000  0.000
Pb  0.255  0.255  0.760
Pb  0.745  0.745  0.240
Br  0.500  0.500  0.500

=====

No. 7
Ba6SbPd2I3 | PBE-GGA | optimized geometry

Computed properties:
* space-group type: No. 12
* DFT total energy: -3.66 eV per atom

a = 11.311 Å, b = 11.311 Å, c = 10.320 Å
α = 107.79°, β = 107.79°, γ = 24.56°
Element x y z (fractional)
Ba  0.015  0.015  0.241
Ba  0.321  0.321  0.439
Ba  0.337  0.337  0.882
Ba  0.663  0.663  0.118
Ba  0.679  0.679  0.561
Ba  0.985  0.985  0.759
Sb  0.500  0.500  0.000
Pd  0.170  0.170  0.340
Pd  0.830  0.830  0.660
I  0.163  0.163  0.837
I  0.500  0.500  0.500
I  0.837  0.837  0.163

=====

No. 8
InCo2SiPb | PBE-GGA | optimized geometry

Computed properties:
* space-group type: No. 123
* DFT total energy: -4.55 eV per atom

a = 4.431 Å, b = 4.431 Å, c = 5.382 Å
α = 90.00°, β = 90.00°, γ = 90.00°
Element x y z (fractional)
In  0.000  0.000  0.000
Co  0.000  0.500  0.500
Co  0.500  0.000  0.500
Si  0.500  0.500  0.500
Pb  0.500  0.500  0.000

=====

No. 9
SmDy2Tl | PBE-GGA | optimized geometry

Computed properties:
* energy above the lowest structure with this stoichiometry: 12 meV per atom
* ΔH_f (0 K): -172 meV/atom
* space-group type: No. 11

a = 3.641 Å, b = 10.342 Å, c = 6.699 Å
α = 90.00°, β = 105.76°, γ = 90.00°
Element x y z (fractional)
Sm  0.041  0.250  0.080
Sm  0.959  0.750  0.920
Dy  0.368  0.027  0.735
Dy  0.368  0.473  0.735
Dy  0.632  0.527  0.265
Dy  0.632  0.973  0.265
Tl  0.239  0.750  0.480
Tl  0.761  0.250  0.520

=====

No. 10
AcLa7Y3 | PBE-GGA | optimized geometry

Computed properties:
* energy above the lowest structure with this stoichiometry: 0 meV per atom
* ΔH_f (0 K): 180 meV/atom
* space-group type: No. 156

a = 7.403 Å, b = 7.403 Å, c = 8.717 Å
α = 90.00°, β = 90.00°, γ = 120.00°
Element x y z (fractional)
Ac  0.000  0.000  0.000
La  0.333  0.667  0.300
La  0.341  0.170  0.334
La  0.502  0.004  0.968
La  0.502  0.498  0.968
La  0.830  0.170  0.334
La  0.830  0.659  0.334
La  0.996  0.498  0.968
Y  0.168  0.336  0.648
Y  0.168  0.832  0.648
Y  0.664  0.832  0.648

=====

No. 11
La3YSc | PBE-GGA | optimized geometry

Computed properties:
* energy above the lowest structure with this stoichiometry: 686 meV per atom
* ΔH_f (0 K): 772 meV/atom
* space-group type: No. 221

a = 5.832 Å, b = 5.832 Å, c = 5.832 Å
α = 90.00°, β = 90.00°, γ = 90.00°
Element x y z (fractional)
La  0.000  0.000  0.500
La  0.000  0.500  0.000
La  0.500  0.000  0.000
Y  0.000  0.000  0.000
Sc  0.500  0.500  0.500

=====

No. 12
SrCdTe2 | PBE-GGA | optimized geometry

Computed properties:
* space-group type: No. 65
* DFT total energy: -2.97 eV per atom

a = 5.407 Å, b = 5.407 Å, c = 4.161 Å
α = 90.00°, β = 90.00°, γ = 95.32°
Element x y z (fractional)
Sr  0.000  0.000  0.000
Cd  0.500  0.500  0.000
Te  0.000  0.500  0.500
Te  0.500  0.000  0.500